Compound: Th8Al2Tc
Source: Alexandria via LeMat-Bulk
Functional: PBE
Structure: relaxed

Computed properties:
Its total moment is 0.0000 μB per atom. Its calculated formation energy is -0.07 eV per atom. The value obtained for the total energy is -155.93 eV per cell.

Geometry as CIF:
```
data_Th8Al2Tc
_chemical_formula_sum 'Th16 Al4 Tc2'
_symmetry_space_group_name_H-M 'C 1 2/m 1'
_symmetry_Int_Tables_number 12
_cell_length_a 18.494
_cell_length_b 4.803
_cell_length_c 7.260
_cell_angle_alpha 90.00
_cell_angle_beta 96.50
_cell_angle_gamma 90.00
loop_
_symmetry_equiv_pos_as_xyz
'x,y,z'
'-x,-y,-z'
'-x,y,-z'
'x,-y,z'
'x+1/2,y+1/2,z'
'-x+1/2,-y+1/2,-z'
'-x+1/2,y+1/2,-z'
'x+1/2,-y+1/2,z'
loop_
_atom_site_label
_atom_site_type_symbol
_atom_site_fract_x
_atom_site_fract_y
_atom_site_fract_z
Th1 Th 0.001 0.000 0.236
Th2 Th 0.099 0.500 0.519
Th3 Th 0.148 0.500 0.023
Th4 Th 0.216 0.000 0.338
Al1 Al 0.181 0.000 0.761
Tc1 Tc 0.000 0.500 0.000
```

***

Compound: Th6Al3Tc
Source: Alexandria via LeMat-Bulk
Functional: PBE
Structure: relaxed

Computed properties:
Its total moment is 0.0000 μB per atom. Its calculated formation energy is -0.01 eV per atom. The value obtained for the total energy is -397.54 eV per cell.

Geometry as CIF:
```
data_Th6Al3Tc
_chemical_formula_sum 'Th36 Al18 Tc6'
_symmetry_space_group_name_H-M 'R -3'
_symmetry_Int_Tables_number 148
_symmetry_space_group_name_Hall '-R 3'
_cell_length_a 11.5712
_cell_length_b 11.5712
_cell_length_c 15.0868
_cell_angle_alpha 90.00
_cell_angle_beta 90.00
_cell_angle_gamma 120.00
loop_
_atom_site_label
_atom_site_type_symbol
_atom_site_fract_x
_atom_site_fract_y
_atom_site_fract_z
Th1 Th 0.0996 0.2002 0.3769
Th2 Th 0.1079 0.5541 0.7767
Al1 Al 0.0472 0.5231 0.4181
Tc1 Tc 0.0000 0.0000 0.0000
Tc2 Tc 0.0000 0.0000 0.5000
```

***

Compound: Th2AlTc2
Source: Alexandria via LeMat-Bulk
Functional: PBE
Structure: relaxed

Computed properties:
Its total moment is 0.0000 μB per atom. Its calculated formation energy is -0.30 eV per atom. The value obtained for the total energy is -163.18 eV per cell.

Geometry as CIF:
```
data_Th2AlTc2
_chemical_formula_sum 'Th8 Al4 Tc8'
_symmetry_space_group_name_H-M 'C 1 2/c 1'
_symmetry_Int_Tables_number 15
_cell_length_a 10.244
_cell_length_b 5.575
_cell_length_c 8.179
_cell_angle_alpha 90.00
_cell_angle_beta 109.12
_cell_angle_gamma 90.00
loop_
_symmetry_equiv_pos_as_xyz
'x,y,z'
'-x,-y,-z'
'-x,y,-z+1/2'
'x,-y,z+1/2'
'x+1/2,y+1/2,z'
'-x+1/2,-y+1/2,-z'
'-x+1/2,y+1/2,-z+1/2'
'x+1/2,-y+1/2,z+1/2'
loop_
_atom_site_label
_atom_site_type_symbol
_atom_site_fract_x
_atom_site_fract_y
_atom_site_fract_z
Th1 Th 0.147 0.149 0.146
Al1 Al 0.000 0.390 0.750
Tc1 Tc 0.137 0.340 0.531
```

***

Compound: ThAl3Tc
Source: Alexandria via LeMat-Bulk
Functional: PBE
Structure: relaxed

Computed properties:
Its total moment is 0.0001 μB per atom. Its calculated formation energy is -0.26 eV per atom. The value obtained for the total energy is -121.26 eV per cell.

Geometry as CIF:
```
data_ThAl3Tc
_chemical_formula_sum 'Th4 Al12 Tc4'
_symmetry_space_group_name_H-M 'I m m a'
_symmetry_Int_Tables_number 74
_symmetry_space_group_name_Hall '-I 2b 2'
_cell_length_a 5.944
_cell_length_b 9.441
_cell_length_c 7.481
_cell_angle_alpha 90.00
_cell_angle_beta 90.00
_cell_angle_gamma 90.00
loop_
_atom_site_label
_atom_site_type_symbol
_atom_site_fract_x
_atom_site_fract_y
_atom_site_fract_z
Th1 Th 0.000 0.250 0.100
Al1 Al 0.000 0.250 0.559
Al2 Al 0.250 0.047 0.750
Tc1 Tc 0.000 0.000 0.500
```

***

Compound: ThAlTc
Source: Alexandria via LeMat-Bulk
Functional: PBE
Structure: relaxed

Computed properties:
Its total moment is 0.0000 μB per atom. Its calculated formation energy is -0.42 eV per atom. The energy above the lowest structure with this stoichiometry comes out at 0 meV/atom. The value obtained for the total energy is -91.14 eV per cell.

Geometry as CIF:
```
data_ThAlTc
_chemical_formula_sum 'Th4 Al4 Tc4'
_symmetry_space_group_name_H-M 'P n m a'
_symmetry_Int_Tables_number 62
_cell_length_a 7.431
_cell_length_b 4.812
_cell_length_c 7.030
_cell_angle_alpha 90.00
_cell_angle_beta 90.00
_cell_angle_gamma 90.00
loop_
_symmetry_equiv_pos_as_xyz
'x,y,z'
'-x,-y,-z'
'-x+1/2,-y,z+1/2'
'x+1/2,y,-z+1/2'
'x+1/2,-y+1/2,-z+1/2'
'-x+1/2,y+1/2,z+1/2'
'-x,y+1/2,-z'
'x,-y+1/2,z'
loop_
_atom_site_label
_atom_site_type_symbol
_atom_site_fract_x
_atom_site_fract_y
_atom_site_fract_z
Th1 Th 0.037 0.250 0.197
Al1 Al 0.192 0.250 0.625
Tc1 Tc 0.152 0.750 0.466
```

***

Compound: TmThAlTc
Source: Alexandria via LeMat-Bulk
Functional: PBE
Structure: relaxed

Computed properties:
Its total moment is 0.0000 μB per atom. Its calculated formation energy is -0.17 eV per atom. The value obtained for the total energy is -106.71 eV per cell.

Geometry as CIF:
```
data_TmThAlTc
_chemical_formula_sum 'Tm4 Th4 Al4 Tc4'
_symmetry_space_group_name_H-M 'F -4 3 m'
_symmetry_Int_Tables_number 216
_symmetry_space_group_name_Hall 'F -4 2 3'
_cell_length_a 7.123
_cell_length_b 7.123
_cell_length_c 7.123
_cell_angle_alpha 90.00
_cell_angle_beta 90.00
_cell_angle_gamma 90.00
loop_
_atom_site_label
_atom_site_type_symbol
_atom_site_fract_x
_atom_site_fract_y
_atom_site_fract_z
Tm1 Tm 0.000 0.000 0.000
Th1 Th 0.000 0.000 0.500
Al1 Al 0.250 0.250 0.250
Tc1 Tc 0.250 0.250 0.750
```

***

Compound: Th2UAlTc6
Source: Alexandria via LeMat-Bulk
Functional: PBE
Structure: relaxed

Computed properties:
Its total moment is 0.0000 μB per atom. Its calculated formation energy is -0.07 eV per atom. The value obtained for the total energy is -92.74 eV per cell.

Geometry as CIF:
```
data_Th2UAlTc6
_chemical_formula_sum 'Th2 U1 Al1 Tc6'
_symmetry_space_group_name_H-M 'P -1'
_symmetry_Int_Tables_number 2
_cell_length_a 5.654
_cell_length_b 6.452
_cell_length_c 6.510
_cell_angle_alpha 95.21
_cell_angle_beta 114.07
_cell_angle_gamma 112.35
loop_
_symmetry_equiv_pos_as_xyz
'x,y,z'
'-x,-y,-z'
loop_
_atom_site_label
_atom_site_type_symbol
_atom_site_fract_x
_atom_site_fract_y
_atom_site_fract_z
Th1 Th 0.240 0.220 0.262
U1 U 0.000 0.500 0.500
Al1 Al 0.500 0.000 0.000
Tc1 Tc 0.228 0.665 0.152
Tc2 Tc 0.231 0.908 0.534
Tc3 Tc 0.307 0.315 0.836
```

***

Compound: YThAlTc
Source: Alexandria via LeMat-Bulk
Functional: PBE
Structure: relaxed

Computed properties:
Its total moment is 0.0000 μB per atom. Its calculated formation energy is -0.14 eV per atom. The value obtained for the total energy is -114.24 eV per cell.

Geometry as CIF:
```
data_YThAlTc
_chemical_formula_sum 'Y4 Th4 Al4 Tc4'
_symmetry_space_group_name_H-M 'F -4 3 m'
_symmetry_Int_Tables_number 216
_symmetry_space_group_name_Hall 'F -4 2 3'
_cell_length_a 7.176
_cell_length_b 7.176
_cell_length_c 7.176
_cell_angle_alpha 90.00
_cell_angle_beta 90.00
_cell_angle_gamma 90.00
loop_
_atom_site_label
_atom_site_type_symbol
_atom_site_fract_x
_atom_site_fract_y
_atom_site_fract_z
Y1 Y 0.000 0.000 0.000
Th1 Th 0.000 0.000 0.500
Al1 Al 0.250 0.250 0.750
Tc1 Tc 0.250 0.250 0.250
```

***

Ordered DOS at the Fermi energy results: 27.98; 64.99; 17.42; 16.91; 6.88; 7.69; 10.21; 8.44; unit states/eV per cell.